1.
First-principles (PBE) data for crystalline HoHgB4 at its relaxed geometry, as listed in OQMD.

Properties
* VASP energy: -5.273 eV per atom
* total moment: 0.000 μB/atom
* distance to the lowest polymorph of the same formula: 0.0 kJ per mole of atoms

Cell: 3.202 5.297 8.321 Å, 90.00 90.00 90.00°
Element x y z (fractional)
1 Ho 0.000 0.000 0.000
2 Ho 0.500 0.500 0.500
3 Hg 0.000 0.000 0.500
4 Hg 0.500 0.500 0.000
5 B 0.000 0.318 0.268
6 B 0.000 0.318 0.732
7 B 0.000 0.682 0.268
8 B 0.000 0.682 0.732
9 B 0.500 0.182 0.232
10 B 0.500 0.182 0.768
11 B 0.500 0.818 0.232
12 B 0.500 0.818 0.768



2.
First-principles (PBE) data for crystalline HoHgB4 at its relaxed geometry, as listed in OQMD.

Properties
* VASP energy: -5.064 eV per atom
* total moment: 0.008 μB/atom
* distance to the lowest polymorph of the same formula: 20.1 kJ per mole of atoms

Cell: 3.227 3.227 7.843 Å, 90.00 90.00 120.00°
Element x y z (fractional)
1 Ho 0.000 0.000 0.000
2 Hg 0.000 0.000 0.500
3 B 0.333 0.667 0.238
4 B 0.333 0.667 0.762
5 B 0.667 0.333 0.238
6 B 0.667 0.333 0.762



3.
First-principles (PBE) data for crystalline InHgB2 at its relaxed geometry, as listed in OQMD.

Properties
* VASP energy: -2.314 eV per atom

Cell: 6.468 6.468 6.468 Å, 90.00 90.00 90.00°
Element x y z (fractional)
1 In 0.000 0.000 0.000
2 In 0.000 0.500 0.500
3 In 0.500 0.000 0.500
4 In 0.500 0.500 0.000
5 Hg 0.250 0.250 0.250
6 Hg 0.250 0.750 0.750
7 Hg 0.750 0.250 0.750
8 Hg 0.750 0.750 0.250
9 B 0.000 0.000 0.500
10 B 0.000 0.500 0.000
11 B 0.250 0.250 0.750
12 B 0.250 0.750 0.250
13 B 0.500 0.000 0.000
14 B 0.500 0.500 0.500
15 B 0.750 0.250 0.250
16 B 0.750 0.750 0.750



4.
First-principles (PBE) data for crystalline In2HgB at its relaxed geometry, as listed in OQMD.

Properties
* VASP energy: -2.155 eV per atom

Cell: 7.035 7.035 7.035 Å, 90.00 90.00 90.00°
Element x y z (fractional)
1 In 0.000 0.000 0.000
2 In 0.000 0.500 0.500
3 In 0.250 0.250 0.250
4 In 0.250 0.750 0.750
5 In 0.500 0.000 0.500
6 In 0.500 0.500 0.000
7 In 0.750 0.250 0.750
8 In 0.750 0.750 0.250
9 Hg 0.250 0.250 0.750
10 Hg 0.250 0.750 0.250
11 Hg 0.750 0.250 0.250
12 Hg 0.750 0.750 0.750
13 B 0.000 0.000 0.500
14 B 0.000 0.500 0.000
15 B 0.500 0.000 0.000
16 B 0.500 0.500 0.500



Look up the VASP energy of the fourth one.
-2.155 eV per atom